Version P
DFT (PBE-GGA) results for a geometry-optimized Tc2NiPt structure.

Structure (POSCAR):
```
Tc2NiPt
1.0
-2.462 -4.696 7.171
-1.667 -6.756 5.579
0.162 -5.415 7.085
Tc Pt Ni
2 1 1
direct
0.249 0.249 0.249 Tc
0.997 0.997 0.997 Tc
0.753 0.753 0.753 Pt
0.502 0.502 0.502 Ni
```

- Spin magnetization: 0.000 μB/atom
- Space-group type: No. 160
- DOS at the Fermi energy: 5.2 states/eV per cell

---

Version Q
DFT (PBE-GGA) results for a geometry-optimized Tc2NiPt structure.

Structure (POSCAR):
```
Tc2NiPt
1.0
-2.719 5.196 0.600
-1.503 -3.062 -3.340
-2.421 -0.030 1.116
Pt Tc Ni
1 2 1
direct
0.500 0.500 0.000 Pt
0.000 0.000 0.000 Tc
0.500 0.000 0.500 Tc
0.000 0.500 0.500 Ni
```

- Spin magnetization: 0.000 μB/atom
- Space-group type: No. 65
- DOS at the Fermi energy: 5.0 states/eV per cell

---

Sorted by energy, starting with the most stable: version P, version Q.

---

Version P
DFT (PBE-GGA) results for a geometry-optimized Tc2NiPt structure.

Structure (POSCAR):
```
Tc2NiPt
1.0
3.156 0.000 0.000
0.000 3.156 0.000
0.000 0.000 5.655
Pt Tc Ni
1 2 1
direct
0.500 0.500 0.728 Pt
0.000 0.000 0.017 Tc
0.500 0.500 0.263 Tc
0.000 0.000 0.492 Ni
```

- Spin magnetization: 0.000 μB/atom
- Space-group type: No. 99
- DOS at the Fermi energy: 3.7 states/eV per cell

---

Version Q
DFT (PBE-GGA) results for a geometry-optimized Tc2NiPt structure.

Structure (POSCAR):
```
Tc2NiPt
1.0
3.204 0.000 0.000
0.000 3.204 0.000
0.000 0.000 5.548
Tc Ni Pt
2 1 1
direct
0.000 0.000 0.465 Tc
0.000 0.000 0.035 Tc
0.500 0.500 0.250 Ni
0.500 0.500 0.750 Pt
```

- Spin magnetization: 0.000 μB/atom
- Space-group type: No. 123
- DOS at the Fermi energy: 6.8 states/eV per cell

---

Sorted by energy, starting with the most stable: version P, version Q.

---

Version P
DFT (PBE-GGA) results for a geometry-optimized Tc2NiPt structure.

Structure (POSCAR):
```
Tc2NiPt
1.0
4.315 0.000 0.000
2.157 3.737 0.000
2.157 1.246 3.523
Pt Tc Ni
1 2 1
direct
0.750 0.750 0.750 Pt
0.250 0.250 0.250 Tc
0.000 0.000 0.000 Tc
0.500 0.500 0.500 Ni
```

- Spin magnetization: 0.000 μB/atom
- Space-group type: No. 216
- DOS at the Fermi energy: 5.1 states/eV per cell

---

Version Q
DFT (PBE-GGA) results for a geometry-optimized Tc2NiPt structure.

Structure (POSCAR):
```
Tc2NiPt
1.0
5.374 0.000 0.000
0.000 5.374 0.000
2.687 2.687 5.535
Tc Pt Ni
4 2 2
direct
0.875 0.850 0.750 Tc
0.375 0.400 0.750 Tc
0.600 0.125 0.250 Tc
0.150 0.625 0.250 Tc
0.000 0.000 0.000 Pt
0.750 0.250 0.500 Pt
0.500 0.500 0.000 Ni
0.250 0.750 0.500 Ni
```

- Spin magnetization: 0.000 μB/atom
- Space-group type: No. 122
- DOS at the Fermi energy: 5.7 states/eV per cell

---

Sorted by energy, starting with the most stable: version P, version Q.

---

Version P
DFT (PBE-GGA) results for a geometry-optimized Tc2NiPt structure.

Structure (POSCAR):
```
Tc2NiPt
1.0
-0.189 3.361 3.203
-3.323 -1.087 3.062
3.584 -2.473 -1.623
Tc Ni Pt
2 1 1
direct
0.750 0.250 0.500 Tc
0.000 0.000 0.000 Tc
0.500 0.500 0.000 Ni
0.250 0.750 0.500 Pt
```

- Spin magnetization: 0.000 μB/atom
- Space-group type: No. 119
- DOS at the Fermi energy: 5.1 states/eV per cell

---

Version Q
DFT (PBE-GGA) results for a geometry-optimized Tc2NiPt structure.

Structure (POSCAR):
```
Tc2NiPt
1.0
-2.311 -3.211 -2.715
-1.798 -3.678 2.502
-0.191 4.774 0.445
Tc Pt Ni
2 1 1
direct
0.000 0.000 0.000 Tc
0.500 0.500 0.000 Tc
0.250 0.750 0.500 Pt
0.750 0.250 0.500 Ni
```

- Spin magnetization: 0.006 μB/atom
- Space-group type: No. 139
- DOS at the Fermi energy: 5.2 states/eV per cell

---

Version R
DFT (PBE-GGA) results for a geometry-optimized Tc2NiPt structure.

Structure (POSCAR):
```
Tc2NiPt
1.0
-4.218 -4.419 -6.523
-4.757 -6.106 -4.466
-6.344 -3.948 -4.903
Tc Pt Ni
2 1 1
direct
0.504 0.504 0.504 Tc
0.996 0.996 0.996 Tc
0.750 0.750 0.750 Pt
0.250 0.250 0.250 Ni
```

- Spin magnetization: 0.000 μB/atom
- Space-group type: No. 166
- DOS at the Fermi energy: 6.1 states/eV per cell

---

Sorted by energy, starting with the most stable: version P, version Q, version R.

---

Version P
DFT (PBE-GGA) results for a geometry-optimized Tc2NiPt structure.

Structure (POSCAR):
```
Tc2NiPt
1.0
-0.276 -0.503 2.669
2.707 0.167 0.311
-0.607 7.353 1.323
Tc Ni Pt
2 1 1
direct
0.500 0.500 0.256 Tc
0.000 0.000 0.010 Tc
0.000 0.000 0.493 Ni
0.500 0.500 0.741 Pt
```

- Spin magnetization: 0.000 μB/atom
- Space-group type: No. 99
- DOS at the Fermi energy: 4.4 states/eV per cell

---

Version Q
DFT (PBE-GGA) results for a geometry-optimized Tc2NiPt structure.

Structure (POSCAR):
```
Tc2NiPt
1.0
4.725 -0.006 0.006
3.947 2.598 0.006
0.772 0.231 4.545
Ni Tc Pt
1 2 1
direct
0.750 0.750 0.750 Ni
0.499 0.499 0.511 Tc
0.001 0.001 0.989 Tc
0.250 0.250 0.250 Pt
```

- Spin magnetization: 0.000 μB/atom
- Space-group type: No. 12
- DOS at the Fermi energy: 4.0 states/eV per cell

---

Sorted by energy, starting with the most stable: version P, version Q.

---

Version P
DFT (PBE-GGA) results for a geometry-optimized Tc2NiPt structure.

Structure (POSCAR):
```
Tc2NiPt
1.0
4.672 0.003 -0.009
3.912 2.554 -0.009
0.726 0.216 4.699
Ni Tc Pt
1 2 1
direct
0.498 0.498 0.503 Ni
0.756 0.756 0.750 Tc
0.997 0.997 0.987 Tc
0.250 0.250 0.260 Pt
```

- Spin magnetization: 0.000 μB/atom
- Space-group type: No. 8
- DOS at the Fermi energy: 5.1 states/eV per cell

---

Version Q
DFT (PBE-GGA) results for a geometry-optimized Tc2NiPt structure.

Structure (POSCAR):
```
Tc2NiPt
1.0
2.670 0.002 0.000
-0.002 2.670 0.000
0.000 0.000 7.772
Pt Ni Tc
1 1 2
direct
0.500 0.500 0.750 Pt
0.500 0.500 0.250 Ni
0.000 0.000 0.017 Tc
0.000 0.000 0.483 Tc
```

- Spin magnetization: 0.000 μB/atom
- Space-group type: No. 123
- DOS at the Fermi energy: 4.2 states/eV per cell

---

Version R
DFT (PBE-GGA) results for a geometry-optimized Tc2NiPt structure.

Structure (POSCAR):
```
Tc2NiPt
1.0
3.728 0.000 0.000
0.000 3.728 0.000
0.000 0.000 4.004
Pt Ni Tc
1 1 2
direct
0.000 0.500 0.500 Pt
0.500 0.000 0.500 Ni
0.000 0.000 0.000 Tc
0.500 0.500 0.000 Tc
```

- Spin magnetization: 0.000 μB/atom
- Space-group type: No. 123
- DOS at the Fermi energy: 5.0 states/eV per cell

---

Version S
DFT (PBE-GGA) results for a geometry-optimized Tc2NiPt structure.

Structure (POSCAR):
```
Tc2NiPt
1.0
2.694 0.000 0.000
0.000 3.895 0.000
0.000 0.000 5.344
Pt Tc Ni
1 2 1
direct
0.500 0.500 0.750 Pt
0.000 0.000 0.470 Tc
0.000 0.000 0.030 Tc
0.500 0.500 0.250 Ni
```

- Spin magnetization: 0.000 μB/atom
- Space-group type: No. 47
- DOS at the Fermi energy: 4.4 states/eV per cell

---

Sorted by energy, starting with the most stable: version S, version P, version R, version Q.

---

Version P
DFT (PBE-GGA) results for a geometry-optimized TcNiPt4 structure.

Structure (POSCAR):
```
TcNiPt4
1.0
0.753 -2.529 4.479
-3.131 -3.934 1.322
1.796 -4.878 -0.040
Pt Ni Tc
4 1 1
direct
0.876 0.375 0.375 Pt
0.375 0.375 0.375 Pt
0.375 0.375 0.876 Pt
0.375 0.876 0.375 Pt
0.000 0.000 0.000 Ni
0.750 0.750 0.750 Tc
```

- Spin magnetization: 0.669 μB/atom
- Space-group type: No. 216
- DOS at the Fermi energy: 9.1 states/eV per cell

---

Version Q
DFT (PBE-GGA) results for a geometry-optimized TcNiPt4 structure.

Structure (POSCAR):
```
TcNiPt4
1.0
4.476 -0.964 0.000
-3.347 6.212 0.000
0.000 0.000 8.585
Pt Tc Ni
8 2 2
direct
0.443 0.271 0.250 Pt
0.237 0.745 0.496 Pt
0.237 0.745 0.004 Pt
0.763 0.255 0.996 Pt
0.557 0.729 0.750 Pt
0.305 0.003 0.750 Pt
0.695 0.997 0.250 Pt
0.763 0.255 0.504 Pt
0.794 0.492 0.750 Tc
0.206 0.508 0.250 Tc
0.933 0.760 0.250 Ni
0.067 0.240 0.750 Ni
```

- Spin magnetization: 0.000 μB/atom
- Space-group type: No. 11
- DOS at the Fermi energy: 13.6 states/eV per cell

---

Sorted by energy, starting with the most stable: version Q, version P.

---

Version P
DFT (PBE-GGA) results for a geometry-optimized TcNi2Pt5 structure.

Structure (POSCAR):
```
TcNi2Pt5
1.0
-3.073 5.590 -1.500
0.497 -1.438 -6.374
-3.535 -4.671 4.147
Pt Ni Tc
10 4 2
direct
0.497 0.315 0.312 Pt
0.315 0.815 0.312 Pt
0.003 0.503 0.688 Pt
0.815 0.997 0.312 Pt
0.997 0.497 0.312 Pt
0.685 0.185 0.688 Pt
0.000 0.000 0.000 Pt
0.500 0.500 0.000 Pt
0.503 0.685 0.688 Pt
0.185 0.003 0.688 Pt
0.135 0.365 0.000 Ni
0.365 0.865 0.000 Ni
0.635 0.135 0.000 Ni
0.865 0.635 0.000 Ni
0.250 0.250 0.500 Tc
0.750 0.750 0.500 Tc
```

- Spin magnetization: 0.000 μB/atom
- Space-group type: No. 140
- DOS at the Fermi energy: 20.0 states/eV per cell

---

Version Q
DFT (PBE-GGA) results for a geometry-optimized TcNi2Pt5 structure.

Structure (POSCAR):
```
TcNi2Pt5
1.0
3.825 0.000 0.000
0.000 5.478 0.000
0.000 0.000 11.029
Pt Ni Tc
10 4 2
direct
0.000 0.997 0.745 Pt
0.500 0.253 0.120 Pt
0.000 0.497 0.755 Pt
0.000 0.500 0.500 Pt
0.000 0.000 0.000 Pt
0.500 0.747 0.880 Pt
0.000 0.003 0.255 Pt
0.500 0.247 0.620 Pt
0.500 0.753 0.380 Pt
0.000 0.503 0.245 Pt
0.500 0.244 0.379 Ni
0.500 0.256 0.879 Ni
0.500 0.756 0.621 Ni
0.500 0.744 0.121 Ni
0.000 0.500 0.000 Tc
0.000 0.000 0.500 Tc
```

- Spin magnetization: 0.000 μB/atom
- Space-group type: No. 55
- DOS at the Fermi energy: 24.4 states/eV per cell

---

Sorted by energy, starting with the most stable: version Q, version P.

---

Version P
DFT (PBE-GGA) results for a geometry-optimized NiTe2Pt structure.

Structure (POSCAR):
```
NiTe2Pt
1.0
5.893 0.000 0.000
0.000 5.893 0.000
2.947 2.947 5.805
Te Ni Pt
4 2 2
direct
0.146 0.625 0.250 Te
0.604 0.125 0.250 Te
0.875 0.854 0.750 Te
0.375 0.396 0.750 Te
0.500 0.500 0.000 Ni
0.250 0.750 0.500 Ni
0.750 0.250 0.500 Pt
0.000 0.000 0.000 Pt
```

- Spin magnetization: 0.000 μB/atom
- Space-group type: No. 122
- DOS at the Fermi energy: 7.4 states/eV per cell

---

Version Q
DFT (PBE-GGA) results for a geometry-optimized NiTe2Pt structure.

Structure (POSCAR):
```
NiTe2Pt
1.0
3.506 0.000 0.000
0.000 3.506 0.000
0.000 0.000 7.224
Pt Te Ni
1 2 1
direct
0.500 0.500 0.725 Pt
0.500 0.500 0.360 Te
0.000 0.000 0.889 Te
0.000 0.000 0.527 Ni
```

- Spin magnetization: 0.000 μB/atom
- Space-group type: No. 99
- DOS at the Fermi energy: 1.6 states/eV per cell

---

Version R
DFT (PBE-GGA) results for a geometry-optimized NiTe2Pt structure.

Structure (POSCAR):
```
NiTe2Pt
1.0
-6.494 3.835 3.244
-6.511 0.571 4.967
-4.311 3.281 6.169
Te Pt Ni
2 1 1
direct
0.893 0.893 0.893 Te
0.107 0.107 0.107 Te
0.000 0.000 0.000 Pt
0.500 0.500 0.500 Ni
```

- Spin magnetization: 0.000 μB/atom
- Space-group type: No. 166
- DOS at the Fermi energy: 2.3 states/eV per cell

---

Version S
DFT (PBE-GGA) results for a geometry-optimized NiTe2Pt structure.

Structure (POSCAR):
```
NiTe2Pt
1.0
4.609 0.000 0.000
0.000 4.463 0.023
0.000 1.483 4.214
Te Ni Pt
2 1 1
direct
0.000 0.906 0.906 Te
0.500 0.351 0.351 Te
0.000 0.523 0.522 Ni
0.500 0.721 0.721 Pt
```

- Spin magnetization: 0.000 μB/atom
- Space-group type: No. 38
- DOS at the Fermi energy: 2.3 states/eV per cell

---

Sorted by energy, starting with the most stable: version S, version Q, version P, version R.

---

Version P
DFT (PBE-GGA) results for a geometry-optimized NiTe2Pt structure.

Structure (POSCAR):
```
NiTe2Pt
1.0
6.543 0.025 0.009
4.442 4.804 -0.009
-5.333 -2.777 2.580
Te Ni Pt
2 1 1
direct
0.697 0.197 0.500 Te
0.973 0.973 0.000 Te
0.515 0.515 0.000 Ni
0.316 0.816 0.500 Pt
```

- Spin magnetization: 0.000 μB/atom
- Space-group type: No. 44
- DOS at the Fermi energy: 2.7 states/eV per cell

---

Version Q
DFT (PBE-GGA) results for a geometry-optimized NiTe2Pt structure.

Structure (POSCAR):
```
NiTe2Pt
1.0
-1.670 -2.849 0.685
2.635 -1.802 -1.068
2.551 0.013 6.273
Pt Te Ni
1 2 1
direct
0.500 0.500 0.750 Pt
0.000 0.000 0.012 Te
0.000 0.000 0.488 Te
0.500 0.500 0.250 Ni
```

- Spin magnetization: 0.000 μB/atom
- Space-group type: No. 123
- DOS at the Fermi energy: 1.9 states/eV per cell

---

Version R
DFT (PBE-GGA) results for a geometry-optimized NiTe2Pt structure.

Structure (POSCAR):
```
NiTe2Pt
1.0
3.951 -0.357 -0.207
2.309 3.226 -0.207
0.536 0.246 6.881
Te Ni Pt
2 1 1
direct
0.962 0.962 0.119 Te
0.619 0.619 0.653 Te
0.627 0.627 0.265 Ni
0.292 0.292 0.463 Pt
```

- Spin magnetization: 0.000 μB/atom
- Space-group type: No. 8
- DOS at the Fermi energy: 3.1 states/eV per cell

---

Sorted by energy, starting with the most stable: version R, version P, version Q.

---

Version P
DFT (PBE-GGA) results for a geometry-optimized NiTe2Pt structure.

Structure (POSCAR):
```
NiTe2Pt
1.0
6.991 -0.017 -0.010
5.892 3.763 -0.010
5.892 1.714 3.351
Ni Te Pt
1 2 1
direct
0.495 0.495 0.495 Ni
0.028 0.028 0.028 Te
0.215 0.215 0.215 Te
0.762 0.762 0.762 Pt
```

- Spin magnetization: 0.000 μB/atom
- Space-group type: No. 160
- DOS at the Fermi energy: 1.6 states/eV per cell

---

Version Q
DFT (PBE-GGA) results for a geometry-optimized NiTe2Pt structure.

Structure (POSCAR):
```
NiTe2Pt
1.0
-3.078 1.673 3.346
-4.463 -1.855 0.329
-1.199 -2.770 3.789
Ni Pt Te
1 1 2
direct
0.500 0.500 0.500 Ni
0.750 0.750 0.750 Pt
0.000 0.000 0.000 Te
0.250 0.250 0.250 Te
```

- Spin magnetization: 0.000 μB/atom
- Space-group type: No. 216
- DOS at the Fermi energy: 2.6 states/eV per cell

---

Sorted by energy, starting with the most stable: version P, version Q.